# PBE ThGaOs2, optimized geometry
data_ThGaOs2
_chemical_formula_sum 'Th4 Ga4 Os8'
_symmetry_space_group_name_H-M 'F m -3 m'
_symmetry_Int_Tables_number 225
_symmetry_space_group_name_Hall '-F 4 2 3'
_cell_length_a 6.670
_cell_length_b 6.670
_cell_length_c 6.670
_cell_angle_alpha 90.00
_cell_angle_beta 90.00
_cell_angle_gamma 90.00
loop_
_atom_site_label
_atom_site_type_symbol
_atom_site_fract_x
_atom_site_fract_y
_atom_site_fract_z
_atom_site_occupancy
Th1 Th 0.000 0.000 0.000 1
Ga1 Ga 0.000 0.000 0.500 1
Os1 Os 0.250 0.250 0.250 1
# Final energy, eV per cell: -130.09
# M_tot, μB/f.u.: 0.00
# ΔE_f, eV per atom: 0.10